1.
## Zr2TlBr (PBE)

Data for a relaxed structure of Zr2TlBr.

Summary:
The calculation puts the energy above the most stable polymorph in this dataset at 93 kJ/mol of formula units.

Geometry as POSCAR:
```
Zr2TlBr
1.0
7.0933 0.0000 0.0000
0.0000 7.0933 0.0000
0.0000 0.0000 7.0933
Zr Tl Br
8 4 4
Direct
0.2500 0.2500 0.2500
0.2500 0.2500 0.7500
0.2500 0.7500 0.2500
0.2500 0.7500 0.7500
0.7500 0.2500 0.2500
0.7500 0.2500 0.7500
0.7500 0.7500 0.2500
0.7500 0.7500 0.7500
0.0000 0.0000 0.0000
0.0000 0.5000 0.5000
0.5000 0.0000 0.5000
0.5000 0.5000 0.0000
0.0000 0.0000 0.5000
0.0000 0.5000 0.0000
0.5000 0.0000 0.0000
0.5000 0.5000 0.5000
```

***

2.
## Zr2TlBr (PBE)

Data for a relaxed structure of Zr2TlBr.

Summary:
The calculation puts the energy above the most stable polymorph in this dataset at 268 kJ/mol of formula units.

Geometry as POSCAR:
```
Zr2TlBr
1.0
7.3205 0.0000 0.0000
0.0000 7.3205 0.0000
0.0000 0.0000 7.3205
Zr Tl Br
8 4 4
Direct
0.0000 0.0000 0.0000
0.0000 0.5000 0.5000
0.2500 0.2500 0.2500
0.2500 0.7500 0.7500
0.5000 0.0000 0.5000
0.5000 0.5000 0.0000
0.7500 0.2500 0.7500
0.7500 0.7500 0.2500
0.2500 0.2500 0.7500
0.2500 0.7500 0.2500
0.7500 0.2500 0.2500
0.7500 0.7500 0.7500
0.0000 0.0000 0.5000
0.0000 0.5000 0.0000
0.5000 0.0000 0.0000
0.5000 0.5000 0.5000
```

***

3.
## ZrTlBr2 (PBE)

Data for a relaxed structure of ZrTlBr2.

Summary:
The calculation puts the energy above the most stable polymorph in this dataset at 285 kJ/mol of formula units.

Geometry as POSCAR:
```
ZrTlBr2
1.0
4.3209 0.0000 0.0000
0.0000 4.3209 0.0000
0.0000 0.0000 11.2351
Zr Tl Br
2 2 4
Direct
0.0000 0.0000 0.0000
0.5000 0.5000 0.5000
0.0000 0.5000 0.2500
0.5000 0.0000 0.7500
0.0000 0.0000 0.5000
0.0000 0.5000 0.7500
0.5000 0.0000 0.2500
0.5000 0.5000 0.0000
```

***

4.
## Zr2TlBr (PBE)

Data for a relaxed structure of Zr2TlBr.

Summary:
The calculation puts the energy above the most stable polymorph in this dataset at 2 kJ/mol of formula units.

Geometry as POSCAR:
```
Zr2TlBr
1.0
4.0484 0.0000 0.0000
0.0000 5.0797 0.0000
0.0000 0.0000 10.6898
Zr Tl Br
4 2 2
Direct
0.0000 0.0000 0.0000
0.0000 0.5000 0.2099
0.5000 0.0000 0.2099
0.5000 0.5000 0.0000
0.0000 0.0000 0.4462
0.5000 0.5000 0.4462
0.0000 0.5000 0.8198
0.5000 0.0000 0.8198
```

***

5.
## ZrTlBr2 (PBE)

Data for a relaxed structure of ZrTlBr2.

Summary:
The calculation puts the energy above the most stable polymorph in this dataset at 44 kJ/mol of formula units.

Geometry as POSCAR:
```
ZrTlBr2
1.0
14.7282 0.0000 0.0000
0.0000 3.3238 0.0000
-1.9394 0.0000 5.3416
Zr Tl Br
2 2 4
Direct
0.0000 0.0000 0.0000
0.5000 0.5000 0.0000
0.0000 0.5000 0.5000
0.5000 0.0000 0.5000
0.1583 0.5000 0.1686
0.3417 0.0000 0.8314
0.6583 0.0000 0.1686
0.8417 0.5000 0.8314
```

***

6.
## Zr2TlBr (PBE)

Data for a relaxed structure of Zr2TlBr.

Summary:
The calculation puts the energy above the most stable polymorph in this dataset at 34 kJ/mol of formula units.

Geometry as POSCAR:
```
Zr2TlBr
1.0
3.3276 0.0000 0.0000
0.0000 3.3276 0.0000
0.0000 0.0000 7.7707
Zr Tl Br
2 1 1
Direct
0.0000 0.0000 0.2347
0.0000 0.0000 0.7653
0.5000 0.5000 0.5000
0.5000 0.5000 0.0000
```

***

Energy relative to the elements, uncorrected / eV per atom: -0.02, 0.44, -0.07, -0.25, -0.69, -0.17